[1]
Here is an optimized crystal structure of Zn3ReP from the Alexandria database. Energies are from PBE.

Properties
**Energy above the lowest structure with this stoichiometry**: 147 meV/atom
**V**: 22.670 Å³/atom
**D(E_F)**: 5.70 states/eV/f.u.
**Space group**: No. 221
**ΔE_f**: 1.3491 eV/atom

a b c (Å): 4.8396 4.8396 4.8396
angles (deg): 90.00 90.00 90.00
Fractional positions:
1 Zn 0.0000 0.5000 0.0000
2 Zn 0.5000 0.0000 0.0000
3 P 0.5000 0.5000 0.5000
4 Zn 0.0000 0.0000 0.5000
5 Re 0.0000 0.0000 0.0000



[2]
Here is an optimized crystal structure of ZnRe2P from the Alexandria database. Energies are from PBE.

Properties
**Energy above the lowest structure with this stoichiometry**: 168 meV/atom
**V**: 14.494 Å³/atom
**D(E_F)**: 2.90 states/eV/f.u.
**Space group**: No. 71
**ΔE_f**: 0.2044 eV/atom

a b c (Å): 5.1413 5.1413 5.1413
angles (deg): 146.77 128.11 63.02
Fractional positions:
1 Re 0.7102 0.7102 0.0000
2 Re 0.2898 0.2898 0.0000
3 P 0.5000 0.0000 0.5000
4 Zn 0.0000 0.5000 0.5000



[3]
Here is an optimized crystal structure of ZnRe2P from the Alexandria database. Energies are from PBE.

Properties
**Energy above the lowest structure with this stoichiometry**: 87 meV/atom
**V**: 14.492 Å³/atom
**D(E_F)**: 2.00 states/eV/f.u.
**Space group**: No. 6
**ΔE_f**: 0.1239 eV/atom

a b c (Å): 4.3127 2.8994 4.8441
angles (deg): 73.13 90.00 90.00
Fractional positions:
1 Re 0.5000 0.2122 0.2122
2 P 0.5000 0.9311 0.7626
3 Re 0.0000 0.8137 0.9969
4 Zn 0.0000 0.5431 0.5283



[4]
Here is an optimized crystal structure of ZnReP from the Alexandria database. Energies are from PBE.

Properties
**Energy above the lowest structure with this stoichiometry**: 0 meV/atom
**V**: 13.890 Å³/atom
**D(E_F)**: 0.25 states/eV/f.u.
**Space group**: No. 107
**ΔE_f**: -0.0950 eV/atom

a b c (Å): 4.8631 4.8631 4.8631
angles (deg): 142.85 142.85 53.54
Fractional positions:
1 Zn 0.6634 0.6634 0.0000
2 P 0.9810 0.9810 0.0000
3 Re 0.3556 0.3556 0.0000



[5]
Here is an optimized crystal structure of ZnRe2P from the Alexandria database. Energies are from PBE.

Properties
**Energy above the lowest structure with this stoichiometry**: 401 meV/atom
**V**: 14.371 Å³/atom
**D(E_F)**: 2.98 states/eV/f.u.
**Space group**: No. 12
**ΔE_f**: 0.4375 eV/atom

a b c (Å): 4.9395 4.9395 2.8291
angles (deg): 75.32 75.32 111.25
Fractional positions:
1 P 0.5000 0.5000 0.5000
2 Re 0.5000 0.0000 0.0000
3 Re 0.0000 0.5000 0.0000
4 Zn 0.0000 0.0000 0.5000



[6]
Here is an optimized crystal structure of ZnRe3P from the Alexandria database. Energies are from PBE.

Properties
**Energy above the lowest structure with this stoichiometry**: 0 meV/atom
**V**: 16.756 Å³/atom
**D(E_F)**: 4.24 states/eV/f.u.
**Space group**: No. 221
**ΔE_f**: 0.9300 eV/atom

a b c (Å): 4.3757 4.3757 4.3757
angles (deg): 90.00 90.00 90.00
Fractional positions:
1 Re 0.5000 0.0000 0.0000
2 Re 0.0000 0.5000 0.0000
3 Re 0.0000 0.0000 0.5000
4 P 0.0000 0.0000 0.0000
5 Zn 0.5000 0.5000 0.5000